Entry 1:
DFT (SCAN) results for NaHfMn2Te at its PBEsol-relaxed geometry.

abc: 4.5641 4.5641 5.1096
angles: 90.00 90.00 90.00
With the nearest neighbours (Å) after each atom.
Space group P4/mmm (No. 123)
Asymmetric unit:
Na 0.0000 0.0000 0.0000 (multiplicity 1)  4 Mn 2.28, 2 Hf 2.55
Hf 0.0000 0.0000 0.5000 (multiplicity 1)  2 Na 2.55
Mn 0.0000 0.5000 0.0000 (multiplicity 2)  2 Na 2.28
Te 0.5000 0.5000 0.5000 (multiplicity 1)  4 Hf 3.23, 8 Mn 3.43

Computed properties:
Formation energy without anion corrections = 1.20 eV per atom



Entry 2:
DFT (SCAN) results for ZrIn2Pt at its PBEsol-relaxed geometry.

abc: 5.8436 8.9901 2.9932
angles: 90.00 90.00 90.00
With the nearest neighbours (Å) after each atom.
Space group Cmmm (No. 65)
Asymmetric unit:
Zr 0.0000 0.0000 0.0000 (multiplicity 2)  2 Pt 2.92, 2 Zr 2.99, 8 In 3.07
In 0.2500 0.2500 0.5000 (multiplicity 4)  4 In 2.92-2.99, 4 Zr 3.07, 4 Pt 3.07
Pt 0.0000 0.5000 0.0000 (multiplicity 2)  2 Zr 2.92, 2 Pt 2.99, 8 In 3.07

Computed properties:
Energy relative to the elements = -0.30 eV/atom



Entry 3:
DFT (SCAN) results for LiTePO5 at its PBEsol-relaxed geometry.

abc: 8.7837 6.7383 7.1372
angles: 90.00 90.00 90.00
With the nearest neighbours (Å) after each atom.
Space group Pnma (No. 62)
Asymmetric unit:
Li 0.0000 0.0000 0.0000 (multiplicity 4)  4 O 2.00-2.06
Te 0.1473 0.2500 0.2804 (multiplicity 4)  1 O 1.85
P 0.1262 0.7500 0.3622 (multiplicity 4)  4 O 1.54-1.55
O 0.0290 0.2500 0.5357 (multiplicity 4)  1 P 1.55
O 0.0327 0.7500 0.8541 (multiplicity 4)  1 Te 1.85, 2 Li 2.00
O 0.1330 0.5674 0.2298 (multiplicity 8)  1 P 1.55
O 0.2355 0.2500 0.9941 (multiplicity 4)  1 P 1.54

Computed properties:
Formation energy without anion corrections = -1.94 eV per atom



Entry 4:
DFT (SCAN) results for Ba6Ti7Sb9O42 at its PBEsol-relaxed geometry.

abc: 9.0548 15.6494 11.9657
angles: 90.00 90.18 90.00
With the nearest neighbours (Å) after each atom.
Space group Cm (No. 8)
Asymmetric unit:
Ba 0.0000 0.0000 0.0000 (multiplicity 2)  8 O 2.75-3.06
Ba 0.1072 0.2964 0.0007 (multiplicity 4)  6 O 2.73-2.85
Ba 0.2022 0.1998 0.5051 (multiplicity 4)  8 O 2.77-3.09
Ba 0.3159 0.5000 0.5064 (multiplicity 2)  8 O 2.79-3.06
Ti 0.0315 0.3749 0.3588 (multiplicity 4)  3 O 1.80-1.88
Ti 0.1542 0.5000 0.8581 (multiplicity 2)  3 O 1.80-1.88
Ti 0.1556 0.0000 0.6663 (multiplicity 2)  6 O 1.88-2.10
Ti 0.1589 0.0000 0.3605 (multiplicity 2)  3 O 1.79-1.89
Ti 0.2738 0.1218 0.8520 (multiplicity 4)  4 O 1.83-2.05
Sb 0.0236 0.3788 0.6696 (multiplicity 4)  6 O 1.97-2.05
Sb 0.1494 0.5000 0.1694 (multiplicity 2)  6 O 1.98-2.04
Sb 0.2854 0.1207 0.1661 (multiplicity 4)  6 O 1.98-2.05
Sb 0.4038 0.3333 0.7550 (multiplicity 4)  6 O 1.98-2.01
Sb 0.4068 0.3335 0.2553 (multiplicity 4)  6 O 1.99-2.01
O 0.0078 0.3997 0.8327 (multiplicity 4)  1 Sb 1.98, 2 Ti 2.08-2.16
O 0.0089 0.0849 0.6548 (multiplicity 4)  1 Ti 1.88, 1 Sb 2.00
O 0.0087 0.3983 0.1805 (multiplicity 4)  2 Sb 2.04-2.05, 1 Ti 2.17
O 0.0103 0.0852 0.3572 (multiplicity 4)  1 Ti 1.89, 1 Sb 1.99
O 0.0104 0.3935 0.5066 (multiplicity 4)  1 Ti 1.80, 1 Sb 1.97
O 0.0764 0.1574 0.1482 (multiplicity 4)  2 Sb 1.99-2.01
O 0.0756 0.1570 0.8588 (multiplicity 4)  1 Ti 1.88, 1 Sb 1.99
O 0.1072 0.5000 0.3341 (multiplicity 2)  1 Sb 2.01, 2 Ti 2.10
O 0.1082 0.5000 0.6796 (multiplicity 2)  2 Sb 2.05, 1 Ti 2.18
O 0.1164 0.5000 0.0061 (multiplicity 2)  1 Ti 1.80, 1 Sb 1.98
O 0.1922 0.0000 0.5084 (multiplicity 2)  2 Ti 1.79-1.92
O 0.1989 0.0000 0.8262 (multiplicity 2)  3 Ti 1.95-2.05
O 0.2023 0.0000 0.1785 (multiplicity 2)  2 Sb 2.04, 1 Ti 2.21
O 0.2316 0.3438 0.3552 (multiplicity 4)  1 Ti 1.88, 1 Sb 2.00
O 0.2334 0.3437 0.6472 (multiplicity 4)  2 Sb 2.00-2.01
O 0.3018 0.1053 0.0023 (multiplicity 4)  1 Ti 1.83, 1 Sb 1.98
O 0.3019 0.4153 0.8552 (multiplicity 4)  1 Ti 1.88, 1 Sb 1.99
O 0.3057 0.1018 0.6816 (multiplicity 4)  1 Sb 2.00, 2 Ti 2.08-2.10
O 0.3073 0.0993 0.3319 (multiplicity 4)  1 Sb 2.02, 2 Ti 2.08-2.09
O 0.3078 0.4140 0.1483 (multiplicity 4)  2 Sb 1.98-2.01
O 0.3299 0.2395 0.8505 (multiplicity 4)  1 Ti 1.91, 1 Sb 1.98
O 0.3355 0.2437 0.1478 (multiplicity 4)  2 Sb 1.99-2.01
O 0.4776 0.2406 0.3556 (multiplicity 4)  1 Ti 1.87, 1 Sb 1.99
O 0.4798 0.2448 0.6477 (multiplicity 4)  2 Sb 1.99-2.01

Computed properties:
Formation energy without anion corrections = -2.53 eV per atom



Entry 5:
DFT (SCAN) results for BeCo2B2 at its PBEsol-relaxed geometry.

abc: 5.5125 5.5125 2.4936
angles: 90.00 90.00 90.00
With the nearest neighbours (Å) after each atom.
Space group P4/mbm (No. 127)
Asymmetric unit:
Be 0.0000 0.0000 0.0000 (multiplicity 2)  4 B 2.20, 8 Co 2.38
Co 0.1763 0.3237 0.5000 (multiplicity 4)  6 B 2.03-2.07
B 0.1179 0.6179 0.0000 (multiplicity 4)  1 B 1.84, 2 Co 2.03

Computed properties:
Energy relative to the elements = -0.30 eV/atom



Entry 6:
DFT (SCAN) results for PI2O2 at its PBEsol-relaxed geometry.

abc: 5.4819 5.4819 3.3885
angles: 90.00 90.00 90.00
With the nearest neighbours (Å) after each atom.
Space group P4/mmm (No. 123)
Asymmetric unit:
P 0.0000 0.0000 0.0000 (multiplicity 1)  2 O 1.69
I 0.0000 0.5000 0.0000 (multiplicity 2)  2 P 2.74
O 0.0000 0.0000 0.5000 (multiplicity 1)  2 P 1.69
O 0.5000 0.5000 0.5000 (multiplicity 1)  8 I 3.22, 2 O 3.39

Computed properties:
Formation energy without anion corrections = 0.32 eV per atom



Entry 7:
DFT (SCAN) results for Y2TlHg2 at its PBEsol-relaxed geometry.

abc: 8.0116 8.0116 3.8837
angles: 90.00 90.00 90.00
With the nearest neighbours (Å) after each atom.
Space group P4/mbm (No. 127)
Asymmetric unit:
Y 0.1709 0.3291 0.0000 (multiplicity 4)  6 Hg 3.00-3.10
Tl 0.0000 0.0000 0.5000 (multiplicity 2)  4 Hg 3.15
Hg 0.1277 0.6277 0.5000 (multiplicity 4)  1 Hg 2.89, 6 Y 3.00-3.10, 2 Tl 3.15

Computed properties:
Energy relative to the elements = -0.63 eV/atom



Entry 8:
DFT (SCAN) results for Al2S3 at its PBEsol-relaxed geometry.

abc: 5.9852 10.3694 6.0610
angles: 90.00 110.07 90.00
With the nearest neighbours (Å) after each atom.
Space group C2/m (No. 12)
Asymmetric unit:
Al 0.0000 0.0000 0.0000 (multiplicity 2)  6 S 2.40-2.45
Al 0.0000 0.1559 0.5000 (multiplicity 4)  6 S 2.35-2.53
Al 0.0000 0.5000 0.5000 (multiplicity 2)  6 S 2.36-2.54
S 0.2426 0.0000 0.7567 (multiplicity 4)  4 Al 2.36-2.54
S 0.2468 0.1609 0.2703 (multiplicity 8)  4 Al 2.35-2.53

Computed properties:
Formation energy without anion corrections = -1.20 eV per atom



Entry 9:
DFT (SCAN) results for BeFeAg2 at its PBEsol-relaxed geometry.

abc: 2.7742 4.4055 4.4961
angles: 90.00 90.00 90.00
With the nearest neighbours (Å) after each atom.
Space group Pmmm (No. 47)
Asymmetric unit:
Be 0.0000 0.0000 0.0000 (multiplicity 1)  4 Ag 2.60, 4 Fe 2.64, 2 Be 2.77
Fe 0.5000 0.0000 0.5000 (multiplicity 1)  4 Ag 2.60, 4 Be 2.64, 2 Fe 2.77
Ag 0.0000 0.5000 0.5000 (multiplicity 1)  4 Fe 2.60, 6 Ag 2.64-2.77
Ag 0.5000 0.5000 0.0000 (multiplicity 1)  4 Be 2.60, 6 Ag 2.64-2.77

Computed properties:
Energy relative to the elements = 0.36 eV/atom



Entry 10:
DFT (SCAN) results for MgPRu at its PBEsol-relaxed geometry.

abc: 3.9440 3.9440 3.3800
angles: 90.00 90.00 120.00
With the nearest neighbours (Å) after each atom.
Space group P-6m2 (No. 187)
Asymmetric unit:
Mg 0.0000 0.0000 0.0000 (multiplicity 1)  6 P 2.84, 6 Ru 2.84
P 0.6667 0.3333 0.5000 (multiplicity 1)  3 Ru 2.28
Ru 0.3333 0.6667 0.5000 (multiplicity 1)  3 P 2.28

Computed properties:
Energy relative to the elements = -0.48 eV/atom



Entry 11:
DFT (SCAN) results for MnOsSe at its PBEsol-relaxed geometry.

abc: 2.8937 4.5911 13.7746
angles: 90.00 90.00 90.00
With the nearest neighbours (Å) after each atom.
Space group Fmm2 (No. 42)
Asymmetric unit:
Mn 0.0000 0.0000 0.0000 (multiplicity 4)  2 Os 2.45, 2 Se 2.49, 4 Mn 2.71
Os 0.0000 0.0000 0.6434 (multiplicity 4)  2 Mn 2.45, 4 Os 2.71
Se 0.0000 0.0000 0.3527 (multiplicity 4)  2 Mn 2.49, 4 Se 2.71

Computed properties:
Formation energy without anion corrections = 0.47 eV per atom
Relative energy among the computed polymorphs = 375 meV per atom



Entry 12:
DFT (SCAN) results for AsPdO2F at its PBEsol-relaxed geometry.

abc: 3.8299 3.8299 4.0233
angles: 90.00 90.00 90.00
With the nearest neighbours (Å) after each atom.
Space group P4/mmm (No. 123)
Asymmetric unit:
As 0.0000 0.0000 0.0000 (multiplicity 1)  4 O 1.91, 2 F 2.01
Pd 0.5000 0.5000 0.5000 (multiplicity 1)  4 F 2.71, 8 O 2.78
O 0.0000 0.5000 0.0000 (multiplicity 2)  2 As 1.91
F 0.0000 0.0000 0.5000 (multiplicity 1)  2 As 2.01

Computed properties:
Formation energy without anion corrections = -0.52 eV per atom



Number 1: total energy -26.933 eV/atom. Number 2: total energy -42.221 eV/atom. Number 3: total energy -12.094 eV/atom. Number 4: total energy -17.321 eV/atom. Number 5: total energy -11.063 eV/atom. Number 6: total energy -18.947 eV/atom. Number 7: total energy -53.504 eV/atom. Number 8: total energy -10.075 eV/atom. Number 9: total energy -20.944 eV/atom. Number 10: total energy -17.212 eV/atom. Number 11: total energy -36.265 eV/atom. Number 12: total energy -14.317 eV/atom.